1.
Zr2CuGe | OQMD | PBE-GGA | relaxed; crystal system = cubic
1.0
0.000 3.327 3.327
3.327 0.000 3.327
3.327 3.327 0.000
Zr Cu Ge
2 1 1
direct
0.000 0.000 0.000
0.250 0.250 0.250
0.750 0.750 0.750
0.500 0.500 0.500

***

2.
ZrTeMo | OQMD | PBE-GGA | relaxed; energy above the lowest structure with this stoichiometry = 0.0 meV/atom; crystal system = cubic
1.0
0.000 3.237 3.237
3.237 0.000 3.237
3.237 3.237 0.000
Zr Te Mo
1 1 1
direct
0.000 0.000 0.000
0.500 0.500 0.500
0.750 0.750 0.750

***

3.
TaCdFeGe | OQMD | PBE-GGA | relaxed; energy above the lowest structure with this stoichiometry = 0.0 meV/atom; crystal system = cubic
1.0
0.000 3.196 3.196
3.196 0.000 3.196
3.196 3.196 0.000
Ta Cd Fe Ge
1 1 1 1
direct
0.000 0.000 0.000
0.750 0.750 0.750
0.500 0.500 0.500
0.250 0.250 0.250

***

4.
PrErAg2O4 | OQMD | PBE-GGA | relaxed; crystal system = trigonal
1.0
3.581 0.000 0.000
-1.790 3.101 0.000
0.000 0.000 12.515
Pr Er Ag O
1 1 2 4
direct
0.000 0.000 0.000
0.000 0.000 0.500
0.333 0.667 0.743
0.667 0.333 0.257
0.333 0.667 0.578
0.333 0.667 0.908
0.667 0.333 0.092
0.667 0.333 0.422

***

5.
AsPdPtO | OQMD | PBE-GGA | relaxed; energy above the lowest structure with this stoichiometry = 167.7 meV/atom; crystal system = tetragonal
1.0
3.967 0.000 0.000
0.000 3.967 0.000
0.000 0.000 7.041
As Pd Pt O
2 2 2 2
direct
0.250 0.250 0.229
0.750 0.750 0.771
0.250 0.750 0.000
0.750 0.250 0.000
0.250 0.250 0.667
0.750 0.750 0.333
0.250 0.750 0.500
0.750 0.250 0.500

***

6.
YTaZnFe | OQMD | PBE-GGA | relaxed; energy above the lowest structure with this stoichiometry = 0.0 meV/atom; DFT formation energy = 0.310 eV/atom; crystal system = cubic
1.0
0.000 3.229 3.229
3.229 0.000 3.229
3.229 3.229 0.000
Y Ta Zn Fe
1 1 1 1
direct
0.000 0.000 0.000
0.750 0.750 0.750
0.250 0.250 0.250
0.500 0.500 0.500

***

no.,DFT total energy (eV/cell)
1,-24.51
2,-21.95
3,-23.85
4,-52.28
5,-41.41
6,-26.65